The following is a DFT calculation (PBE-GGA) of a geometry-optimized BaIrI2N structure.

abc: 5.9829 5.9829 3.8104
angles: 90.00 90.00 90.00
Last column: nearest neighbours and their distance in Å.
Space group P4/mmm (No. 123)
Symmetry-distinct sites (fractional):
Ba 0.0000 0.0000 0.0000 [1 per cell]  8 I 3.55, 2 Ba 3.81
Ir 0.5000 0.5000 0.5000 [1 per cell]  2 N 1.91
I 0.0000 0.5000 0.5000 [2 per cell]  2 Ir 2.99
N 0.5000 0.5000 0.0000 [1 per cell]  2 Ir 1.91

## Properties
**Total magnetic moment**: 0.00 μB/cell
**E**: -4.786 eV/atom